First-principles (PBE-GGA) data for a geometry-optimized YC2 structure, as listed in Alexandria via LeMat-Bulk.

Results
- Spin magnetization: 0.0 μB per cell
- E: -43.4 eV/cell
- Space group: P4/nmm (129)
- Energy relative to the elements: 1.0657 eV/atom

abc: 3.3814 3.3814 6.9122
angles: 90.00 90.00 90.00
Sites, in units of the cell vectors:
Y 0.5000 0.0000 0.7222
Y 0.0000 0.5000 0.2778
C 0.0000 0.0000 0.0000
C 0.5000 0.5000 0.0000
C 0.5000 0.0000 0.0626
C 0.0000 0.5000 0.9374